## PrMnBi2O6 (PBE with a Hubbard U)

Data for PrMnBi2O6 after structural relaxation.

Cell lengths 5.6282, 5.9464, 6.3489 Å; angles 62.42, 63.82, 89.73 degrees
Last column: nearest neighbours and their distance in Å.
Space group P1 (No. 1)
Unique sites:
Pr1 0.0000 0.0000 0.0000 [1 per cell]  6 O 2.31-2.56
Mn1 0.4646 0.4334 0.0972 [1 per cell]  4 O 1.94-1.99
Bi1 0.2641 0.8271 0.4482 [1 per cell]  3 O 2.19-2.32
Bi2 0.8001 0.3499 0.4365 [1 per cell]  5 O 2.20-2.45
O1 0.1263 0.1521 0.5439 [1 per cell]  1 Mn 2.31, 2 Bi 2.32-2.36, 1 Pr 2.34
O2 0.1809 0.6083 0.0513 [1 per cell]  1 Mn 1.96
O3 0.3469 0.1552 0.0462 [1 per cell]  1 Mn 1.99, 1 Bi 2.21
O4 0.6038 0.6617 0.1855 [1 per cell]  1 Mn 1.97
O5 0.7097 0.2201 0.1759 [1 per cell]  1 Mn 1.94
O6 0.8717 0.6882 0.4994 [1 per cell]  2 Bi 2.19-2.29

DOS at the Fermi energy (states/eV/cell): 0.000
V (Å³ per cell): 163.6
Calculated total energy (eV/atom): -6.745
Mass density (g cm⁻³): 7.20